# 1
Ta5Fe3: relaxed, GGA-PBE.

Energy relative to the lowest polymorph listed for this composition   6.2 meV per atom
Energy relative to the elements   -0.6 eV per formula unit

Cell: 7.404 7.404 7.400 Å, 96.76 96.76 139.74°
Positions (direct):
Ta 0.076 0.215 0.292
Ta 0.423 0.715 0.139
Ta 0.576 0.285 0.861
Ta 0.923 0.785 0.708
Ta 0.749 0.250 0.499
Ta 0.715 0.576 0.292
Ta 0.285 0.424 0.708
Ta 0.250 0.750 0.501
Ta 0.784 0.076 0.861
Ta 0.215 0.924 0.139
Fe 0.672 0.828 0.500
Fe 0.169 0.670 0.844
Fe 0.250 0.250 0.000
Fe 0.328 0.172 0.500
Fe 0.749 0.750 0.000
Fe 0.830 0.330 0.156

# 2
Ta4Fe: relaxed, GGA-PBE.

Energy relative to the lowest polymorph listed for this composition   0.0 meV per atom
Energy relative to the elements   -0.1 eV per formula unit

Cell: 3.220 5.347 5.347 Å, 95.20 107.53 72.47°
Each line ends with the local moment (μB).
Positions (direct):
Ta 0.407 0.383 0.197  -0.06
Ta 0.210 0.197 0.617  -0.06
Ta 0.790 0.803 0.383  -0.06
Ta 0.593 0.617 0.803  -0.06
Fe 0.000 0.000 0.000  0.58

# 3
Ta5Fe4: relaxed, GGA-PBE.

Energy relative to the lowest polymorph listed for this composition   81.4 meV per atom
Energy relative to the elements   0.9 eV per formula unit

Cell: 6.740 6.740 6.740 Å, 93.27 93.27 152.35°
Each line ends with the local moment (μB).
Positions (direct):
Ta 0.331 0.331 0.662  -0.22
Ta 0.000 0.000 0.000  -0.12
Ta 0.331 0.669 0.000  -0.22
Ta 0.669 0.669 0.338  -0.22
Ta 0.669 0.331 0.000  -0.22
Fe 0.346 0.000 0.346  2.09
Fe 0.000 0.346 0.346  2.09
Fe 0.654 0.000 0.654  2.09
Fe 0.000 0.654 0.654  2.09

# 4
Ta3Fe2: relaxed, GGA-PBE.

Energy relative to the elements   1.0 eV per formula unit

Cell: 10.358 10.358 10.358 Å, 16.60 16.60 16.60°
Each line ends with the local moment (μB).
Positions (direct):
Ta 0.205 0.205 0.205  -0.13
Ta 0.795 0.795 0.795  -0.13
Ta 0.000 0.000 0.000  -0.20
Fe 0.603 0.603 0.603  1.28
Fe 0.397 0.397 0.397  1.28

# 5
Ta5Fe24: relaxed, GGA-PBE.

Energy relative to the elements   -1.6 eV per formula unit

Cell: 7.764 7.764 7.764 Å, 109.47 109.47 109.47°
Each line ends with the local moment (μB).
Positions (direct):
Fe 0.185 0.809 0.809  1.89
Fe 0.328 0.328 0.726  2.17
Fe 0.000 0.191 0.376  1.89
Fe 0.809 0.185 0.809  1.89
Fe 0.398 0.000 0.672  2.17
Fe 0.398 0.672 0.000  2.17
Fe 0.000 0.398 0.672  2.17
Fe 0.672 0.000 0.398  2.17
Fe 0.672 0.398 0.000  2.17
Fe 0.809 0.809 0.185  1.89
Fe 0.376 0.000 0.191  1.89
Fe 0.191 0.000 0.376  1.89
Fe 0.274 0.602 0.602  2.17
Fe 0.726 0.328 0.328  2.17
Fe 0.191 0.376 0.000  1.89
Fe 0.328 0.726 0.328  2.17
Fe 0.624 0.815 0.624  1.89
Fe 0.624 0.624 0.815  1.89
Fe 0.000 0.376 0.191  1.89
Fe 0.376 0.191 0.000  1.89
Fe 0.000 0.672 0.398  2.17
Fe 0.602 0.602 0.274  2.17
Fe 0.602 0.274 0.602  2.17
Fe 0.815 0.624 0.624  1.89
Ta 0.000 0.000 0.000  -0.42
Ta 0.380 0.380 0.380  -0.47
Ta 0.000 0.000 0.620  -0.47
Ta 0.620 0.000 0.000  -0.47
Ta 0.000 0.620 0.000  -0.47

# 6
TaFe: relaxed, GGA-PBE.

Energy relative to the elements   0.5 eV per formula unit

Cell: 2.850 8.884 2.850 Å, 99.23 60.00 99.23°
Each line ends with the local moment (μB).
Positions (direct):
Ta 0.742 0.227 0.742  -0.10
Ta 0.508 0.523 0.508  -0.10
Fe 0.257 0.771 0.257  2.24
Fe 0.993 0.979 0.993  2.24

Question: energy relative to the elements of number 4 (Ta3Fe2)?
Answer: 1.0 eV per formula unit

Question: What is the formula in the fourth record?
Answer: Ta3Fe2

Question: Which of these has the lowest energy relative to the elements?
Answer: Ta5Fe24